# RbLiMo3, relaxed, DFT PBE
# - ΔE_f (eV per atom) = 3.167
# - E_tot (eV/cell) = -19.538
data_RbLiMo3
_symmetry_space_group_name_H-M 'P m -3 m'
_symmetry_Int_Tables_number 221
_symmetry_space_group_name_Hall '-P 4 2 3'
_cell_length_a 4.7167
_cell_length_b 4.7167
_cell_length_c 4.7167
_cell_angle_alpha 90.00
_cell_angle_beta 90.00
_cell_angle_gamma 90.00
loop_
_atom_site_label
_atom_site_fract_x
_atom_site_fract_y
_atom_site_fract_z
Rb1 0.0000 0.0000 0.0000
Li1 0.5000 0.5000 0.5000
Mo1 0.0000 0.0000 0.5000